1.
LiMnCd2In | PBE | relaxed

Computed properties:
**N(E_F)**: 3.952 states/eV/cell
**M_tot**: 3.7 μB/cell
**Space-group type**: P4/mmm (123)
**Final energy**: -2.612 eV/atom

Lattice parameters (Å, degrees): 5.1879 4.9578 5.1879 90.00 90.00 90.00
Last column: magnetic moment on the atom in μB.
Fractional coordinates of all 5 atoms:
Mn1 0.0000 0.0000 0.0000  3.64
Cd1 0.0000 0.0000 0.5000  0.00
Cd2 0.5000 0.0000 0.0000  -0.02
In1 0.5000 0.5000 0.5000  -0.03
Li1 0.0000 0.5000 0.0000  0.02

---

2.
LiCd2InMo | PBE | relaxed

Computed properties:
**N(E_F)**: 2.970 states/eV/cell
**M_tot**: 4.5 μB/cell
**Space-group type**: P4/mmm (123)
**Final energy**: -2.344 eV/atom

Lattice parameters (Å, degrees): 5.3346 5.0097 5.3346 90.00 90.00 90.00
Last column: magnetic moment on the atom in μB.
Fractional coordinates of all 5 atoms:
Mo1 0.5000 0.5000 0.5000  3.73
Cd1 0.0000 0.0000 0.5000  -0.02
Cd2 0.5000 0.0000 0.0000  0.00
Li1 0.0000 0.5000 0.0000  -0.03
In1 0.0000 0.0000 0.0000  -0.04

---

Repeat the first record exactly.
LiMnCd2In | PBE | relaxed

Computed properties:
**N(E_F)**: 3.952 states/eV/cell
**M_tot**: 3.7 μB/cell
**Space-group type**: P4/mmm (123)
**Final energy**: -2.612 eV/atom

Lattice parameters (Å, degrees): 5.1879 4.9578 5.1879 90.00 90.00 90.00
Last column: magnetic moment on the atom in μB.
Fractional coordinates of all 5 atoms:
Mn1 0.0000 0.0000 0.0000  3.64
Cd1 0.0000 0.0000 0.5000  0.00
Cd2 0.5000 0.0000 0.0000  -0.02
In1 0.5000 0.5000 0.5000  -0.03
Li1 0.0000 0.5000 0.0000  0.02